Material: KTcH2Br8
Method: DFT, PBE
State: optimized geometry

extended XYZ file:
```
12
Lattice="6.583 0.000 0.000 0.787 7.843 0.000 1.101 3.037 8.017" Properties=species:S:1:pos:R:3 pbc="T T T"
K 0.000 0.000 0.000
Tc 0.944 5.440 4.008
H 2.332 2.852 1.341
H 6.139 8.028 6.675
Br 1.439 4.872 1.566
Br 1.905 3.234 4.720
Br 3.172 6.504 4.223
Br 2.852 1.480 1.144
Br 5.619 9.400 6.872
Br 5.299 4.376 3.794
Br 6.567 7.646 3.297
Br 7.033 6.008 6.450
```

total DFT energy (no corrections): -3.138 eV per atom